10
Lattice="-2.275 2.275 16.047 2.275 -2.275 16.047 2.275 2.275 -16.047" Properties=species:S:1:pos:R:3 comment="Nd5Bi4As (PBE, optimized geometry)" m_tot_mub_per_cell=0.0 sg="I4/mmm, No. 139" dft_energy_ev_per_cell=-54.348 dos_at_fermi_per_ev_atom=0.136 pbc="T T T"
Nd 0.000 0.000 0.000
Nd 0.000 0.000 6.432
Nd 0.000 0.000 13.045
Nd 0.000 0.000 19.050
Nd 0.000 0.000 25.663
Bi 0.000 0.000 3.191
Bi 0.000 0.000 9.706
Bi 0.000 0.000 22.389
Bi 0.000 0.000 28.904
As 0.000 0.000 16.047